Run a
First-principles (PBE-GGA) data for Si2HI after structural relaxation, as listed in Alexandria via LeMat-Bulk.

Lattice parameters (Å, degrees): 6.681 3.974 8.420 90.00 105.37 90.00
Element x y z (fractional)
Si  0.598  0.482  0.040
Si  0.402  0.982  0.960
Si  0.906  0.481  0.953
Si  0.094  0.981  0.047
I  0.302  0.024  0.654
I  0.698  0.524  0.346
H  0.846  0.480  0.768
H  0.154  0.980  0.232

=====

Run b
First-principles (PBE-GGA) data for Si2HI after structural relaxation, as listed in Alexandria via LeMat-Bulk.

Lattice parameters (Å, degrees): 7.410 3.967 8.133 90.00 115.26 90.00
Element x y z (fractional)
Si  0.332  0.500  0.178
Si  0.519  0.000  0.289
Si  0.086  0.000  0.679
Si  0.216  0.500  0.856
H  0.417  0.500  0.848
H  0.170  0.500  0.242
I  0.786  0.000  0.186
I  0.718  0.000  0.655

=====

The energy of each structure relative to the most stable one, in kJ/mol of atoms, is as follows: run a 0.0; run b 21.1.